# PrTm2Hg3 (GGA-PBE, relaxed)
data_PrTm2Hg3
_chemical_formula_sum 'Pr1 Tm2 Hg3'
_cell_length_a 3.7186
_cell_length_b 3.7186
_cell_length_c 11.3327
_cell_angle_alpha 90.00
_cell_angle_beta 90.00
_cell_angle_gamma 90.00
_space_group_name_H-M_alt 'P 4/m m m'
_space_group_IT_number 123
_space_group_name_Hall '-P 4 2'
loop_
_atom_site_label
_atom_site_type_symbol
_atom_site_fract_x
_atom_site_fract_y
_atom_site_fract_z
Pr1 Pr 0.0000 0.0000 0.0000
Tm1 Tm 0.0000 0.0000 0.3393
Hg1 Hg 0.5000 0.5000 0.1863
Hg2 Hg 0.5000 0.5000 0.5000
# N(E_F) (states/eV/atom): 0.83
# Calculated formation energy (eV/atom): -0.4734